Entry 1:
HoCdGaNi (PBE, optimized geometry); energy of formation from the pure elements = -0.30 eV per atom; total magnetic moment = 0.00 Bohr magnetons per cell
1.0
0.0000 3.3334 3.3334
3.3334 0.0000 3.3334
3.3334 3.3334 0.0000
Ho Cd Ga Ni
1 1 1 1
direct
0.0000 0.0000 0.0000
0.5000 0.5000 0.5000
0.2500 0.2500 0.2500
0.7500 0.7500 0.7500

---

Entry 2:
HoPaCdGa (PBE, optimized geometry); energy of formation from the pure elements = -0.09 eV per atom; total magnetic moment = 0.97 Bohr magnetons per cell
1.0
0.0000 3.6482 3.6482
3.6482 0.0000 3.6482
3.6482 3.6482 0.0000
Ho Pa Cd Ga
1 1 1 1
direct
0.0000 0.0000 0.0000
0.5000 0.5000 0.5000
0.7500 0.7500 0.7500
0.2500 0.2500 0.2500

---

Entry 3:
Ho2CdGaPd4 (PBE, optimized geometry); energy of formation from the pure elements = -0.78 eV per atom; total magnetic moment = 0.00 Bohr magnetons per cell
1.0
2.3579 1.3613 7.7439
-2.3579 1.3613 7.7439
0.0000 -2.7227 7.7439
Ho Cd Ga Pd
2 1 1 4
direct
0.2503 0.2503 0.2503
0.7497 0.7497 0.7497
0.0000 0.0000 0.0000
0.5000 0.5000 0.5000
0.1286 0.1286 0.1286
0.3800 0.3800 0.3800
0.6200 0.6200 0.6200
0.8714 0.8714 0.8714

---

Entry 4:
Ho2CdGa2Pd5 (PBE, optimized geometry); energy of formation from the pure elements = -0.71 eV per atom; total magnetic moment = 0.00 Bohr magnetons per cell
1.0
9.8341 0.0000 0.0000
0.0000 9.8341 0.0000
0.0000 0.0000 3.7950
Ho Cd Ga Pd
4 2 4 10
direct
0.1763 0.3237 0.0000
0.3237 0.8237 0.0000
0.6763 0.1763 0.0000
0.8237 0.6763 0.0000
0.0000 0.0000 0.0000
0.5000 0.5000 0.0000
0.1218 0.6218 0.0000
0.3782 0.1218 0.0000
0.6218 0.8782 0.0000
0.8782 0.3782 0.0000
0.0000 0.5000 0.5000
0.0663 0.7895 0.5000
0.2105 0.0663 0.5000
0.2895 0.5663 0.5000
0.4337 0.2895 0.5000
0.5000 0.0000 0.5000
0.5663 0.7105 0.5000
0.7105 0.4337 0.5000
0.7895 0.9337 0.5000
0.9337 0.2105 0.5000